No. 1
The following is a DFT calculation (PBE) of a relaxed AlCoMoOs crystal.

It has space group F-43m (No. 216), with a = 6.0561 Å, b = 6.0561 Å, c = 6.0561 Å, α = 90.00°, β = 90.00° and γ = 90.00°. Symmetry generates all atoms from Al at (0.0000, 0.0000, 0.0000), Co at (0.2500, 0.2500, 0.7500), Mo at (0.0000, 0.0000, 0.5000) and Os at (0.2500, 0.2500, 0.2500).

The calculation puts the energy relative to the elements at -0.199 eV per atom.

No. 2
The following is a DFT calculation (PBE) of a relaxed Y2In5I12 crystal.

It has space group C2/m (No. 12), with a = 19.0181 Å, b = 8.9025 Å, c = 10.8222 Å, α = 90.00°, β = 110.08° and γ = 90.00°. Symmetry generates all atoms from Y at (0.0000, 0.2447, 0.0000), In at (0.0000, 0.5000, 0.5000), In at (0.1810, 0.0000, 0.8214), In at (0.2270, 0.0000, 0.3687), I at (0.0047, 0.5000, 0.1945), I at (0.0087, 0.0000, 0.2058), I at (0.1267, 0.2578, 0.5678) and I at (0.1667, 0.2388, 0.0880).

Its formation energy from raw total energies is -0.811 eV/atom.

No. 3
The following is a DFT calculation (PBE) of a relaxed RePb3 crystal.

It has space group P4/mmm (No. 123), with a = 5.2258 Å, b = 5.2258 Å, c = 3.6466 Å, α = 90.00°, β = 90.00° and γ = 90.00°. Symmetry generates all atoms from Re at (0.0000, 0.0000, 0.0000), Pb at (0.0000, 0.5000, 0.5000) and Pb at (0.5000, 0.5000, 0.0000).

The calculation puts the energy relative to the elements at 1.063 eV per atom.

Total magnetic moment per entry: 7.254; 0.000; 1.310 μB/cell
VASP energy per entry: -8.427; -3.192; -4.830 eV per atom